Material: CaCrCl6
Method: DFT, PBE
State: optimized geometry

Unit cell a=6.3571 b=6.3562 c=6.7942 alpha=62.09 beta=62.10 gamma=60.00
Site moments in Bohr magnetons follow the coordinates.
Positions (direct):
Cl1 0.2129 0.9405 0.2303  -0.05
Cl2 0.3837 0.7872 0.7696  -0.05
Cl3 0.6163 0.2128 0.2304  -0.05
Cl4 0.0594 0.3837 0.7697  -0.05
Cl5 0.7871 0.0595 0.7697  -0.05
Cl6 0.9406 0.6163 0.2303  -0.05
Ca1 0.5000 0.5000 0.5000  0.01
Cr1 0.0000 0.0000 0.0000  2.21

* density of states at the Fermi level: 6.6 states/eV per cell
* ΔE_f (raw): -1.3614 eV per atom
* uncorrected energy: -0.3087 Ry/atom

***

Material: Ce5Ru2
Method: DFT, PBE
State: optimized geometry

Unit cell a=6.1754 b=7.0435 c=8.7515 alpha=97.32 beta=110.66 gamma=90.00
Site moments in Bohr magnetons follow the coordinates.
Positions (direct):
Ru1 0.5876 0.9028 0.7964  -0.04
Ru2 0.4124 0.0972 0.2036  -0.04
Ru3 0.7912 0.5972 0.2036  -0.04
Ru4 0.2088 0.4028 0.7964  -0.04
Ce1 0.3846 0.7500 0.0000  0.25
Ce2 0.1634 0.6579 0.5574  0.30
Ce3 0.7772 0.5835 0.8044  0.35
Ce4 0.0272 0.0835 0.8044  0.35
Ce5 0.6154 0.2500 0.0000  0.25
Ce6 0.6061 0.8421 0.4426  0.30
Ce7 0.9728 0.9165 0.1956  0.35
Ce8 0.8366 0.3421 0.4426  0.30
Ce9 0.2228 0.4165 0.1956  0.35
Ce10 0.3939 0.1579 0.5574  0.30

* energy of formation: -230 meV per atom
* density of states at the Fermi level: 37.3 states/eV per cell
* uncorrected energy: -0.5232 Ry/atom

***

Material: Ce7OsI12
Method: DFT, PBE
State: optimized geometry

Unit cell a=10.0144 b=10.0144 c=10.0144 alpha=107.56 beta=107.56 gamma=107.56
Site moments in Bohr magnetons follow the coordinates.
Positions (direct):
I1 0.3172 0.7737 0.9249  -0.01
I2 0.4722 0.1532 0.3890  -0.01
I3 0.2263 0.0751 0.6828  -0.01
I4 0.3890 0.4722 0.1532  -0.01
I5 0.7737 0.9249 0.3172  -0.01
I6 0.8468 0.6110 0.5278  -0.01
I7 0.5278 0.8468 0.6110  -0.01
I8 0.6828 0.2263 0.0751  -0.01
I9 0.1532 0.3890 0.4722  -0.01
I10 0.6110 0.5278 0.8468  -0.01
I11 0.9249 0.3172 0.7737  -0.01
I12 0.0751 0.6828 0.2263  -0.01
Ce1 0.9668 0.6926 0.8942  1.10
Ce2 0.3074 0.1058 0.0332  1.10
Ce3 0.0332 0.3074 0.1058  1.10
Ce4 0.8942 0.9668 0.6926  1.10
Ce5 0.5000 0.5000 0.5000  1.30
Ce6 0.1058 0.0332 0.3074  1.10
Ce7 0.6926 0.8942 0.9668  1.10
Os1 0.0000 0.0000 0.0000  -0.14

* density of states at the Fermi level: 55.6 states/eV per cell
* ΔE_f (raw): -1.1577 eV per atom
* uncorrected energy: -0.3474 Ry/atom

***

Material: CrGeAsSe2
Method: DFT, PBE
State: optimized geometry

Unit cell a=4.9178 b=4.9178 c=4.8664 alpha=90.00 beta=90.00 gamma=90.00
Site moments in Bohr magnetons follow the coordinates.
Positions (direct):
Se1 0.0000 0.5000 0.0000  -0.01
Se2 0.5000 0.0000 0.0000  -0.01
Ge1 0.0000 0.0000 0.0000  0.02
Cr1 0.5000 0.5000 0.5000  0.12
As1 0.0000 0.0000 0.5000  -0.04

* density of states at the Fermi level: 6.0 states/eV per cell
* ΔE_f (raw): 1.1575 eV per atom
* uncorrected energy: -0.2951 Ry/atom

***

Material: BaNa2ThTe4
Method: DFT, PBE
State: optimized geometry

Unit cell a=4.7178 b=7.9833 c=8.3363 alpha=70.13 beta=90.00 gamma=90.00
Positions (direct):
Te1 0.5000 0.7392 0.2756
Te2 0.5000 0.2608 0.7244
Te3 0.0000 0.7470 0.7204
Te4 0.0000 0.2530 0.2796
Na1 0.0000 0.0000 0.0000
Na2 0.5000 0.0000 0.5000
Ba1 0.5000 0.5000 0.0000
Th1 0.0000 0.5000 0.5000

* ΔE_f (raw): -1.2630 eV per atom
* uncorrected energy: -0.3184 Ry/atom

***

Material: PrNdPbBr
Method: DFT, PBE
State: optimized geometry

Unit cell a=5.5073 b=5.5073 c=5.5073 alpha=60.00 beta=60.00 gamma=60.00
Positions (direct):
Br1 0.2500 0.2500 0.2500
Nd1 0.5000 0.5000 0.5000
Pb1 0.7500 0.7500 0.7500
Pr1 0.0000 0.0000 0.0000

* density of states at the Fermi level: 3.2 states/eV per cell
* ΔE_f (raw): -0.7985 eV per atom
* uncorrected energy: -0.3330 Ry/atom